Record 1
The following is a PBE calculation of a relaxed structure of MnPt, from Alexandria.

Geometry as CIF:
```
data_MnPt
_symmetry_space_group_name_H-M 'P 1'
_symmetry_Int_Tables_number 1
_symmetry_space_group_name_Hall 'P 1'
_cell_length_a 2.7376
_cell_length_b 11.3481
_cell_length_c 8.3136
_cell_angle_alpha 90.00
_cell_angle_beta 90.00
_cell_angle_gamma 90.00
loop_
_atom_site_label
_atom_site_type_symbol
_atom_site_fract_x
_atom_site_fract_y
_atom_site_fract_z
Mn1 Mn 0.2500 0.0911 0.1218
Mn2 Mn 0.2500 0.4089 0.1218
Mn3 Mn 0.2500 0.7500 0.4062
Mn4 Mn 0.7500 0.2500 0.5938
Mn5 Mn 0.7500 0.5911 0.8782
Mn6 Mn 0.7500 0.9089 0.8782
Pt1 Pt 0.2500 0.2500 0.3315
Pt2 Pt 0.2500 0.6285 0.1408
Pt3 Pt 0.2500 0.8715 0.1408
Pt4 Pt 0.7500 0.1285 0.8592
Pt5 Pt 0.7500 0.3715 0.8592
Pt6 Pt 0.7500 0.7500 0.6685
```

Summary:
energy of formation = 0.371 eV/atom
volume = 258 Å³/cell
magnetization = 4.36 μB per formula unit


Record 2
The following is a PBE calculation of a relaxed structure of MnPt, from Alexandria.

Geometry as CIF:
```
data_MnPt
_symmetry_space_group_name_H-M 'P 1'
_symmetry_Int_Tables_number 1
_symmetry_space_group_name_Hall 'P 1'
_cell_length_a 4.4666
_cell_length_b 4.4666
_cell_length_c 7.7919
_cell_angle_alpha 90.00
_cell_angle_beta 90.00
_cell_angle_gamma 120.00
loop_
_atom_site_label
_atom_site_type_symbol
_atom_site_fract_x
_atom_site_fract_y
_atom_site_fract_z
Mn1 Mn 0.3333 0.6667 0.0857
Mn2 Mn 0.3333 0.6667 0.4143
Mn3 Mn 0.6667 0.3333 0.5857
Mn4 Mn 0.6667 0.3333 0.9143
Pt1 Pt 0.0000 0.0000 0.2500
Pt2 Pt 0.0000 0.0000 0.7500
Pt3 Pt 0.3333 0.6667 0.7500
Pt4 Pt 0.6667 0.3333 0.2500
```

Summary:
energy of formation = 0.086 eV/atom
volume = 135 Å³/cell
magnetization = 4.12 μB per formula unit


Record 3
The following is a PBE calculation of a relaxed structure of Mn5Pt, from Alexandria.

Geometry as CIF:
```
data_Mn5Pt
_symmetry_space_group_name_H-M 'P 1'
_symmetry_Int_Tables_number 1
_symmetry_space_group_name_Hall 'P 1'
_cell_length_a 9.4941
_cell_length_b 2.6168
_cell_length_c 6.1078
_cell_angle_alpha 90.00
_cell_angle_beta 104.90
_cell_angle_gamma 90.00
loop_
_atom_site_label
_atom_site_type_symbol
_atom_site_fract_x
_atom_site_fract_y
_atom_site_fract_z
Mn1 Mn 0.0000 0.0000 0.0000
Mn2 Mn 0.0382 0.0000 0.6236
Mn3 Mn 0.1494 0.5000 0.3601
Mn4 Mn 0.2097 0.5000 0.9215
Mn5 Mn 0.3210 0.0000 0.6738
Mn6 Mn 0.5000 0.5000 0.0000
Mn7 Mn 0.5382 0.5000 0.6236
Mn8 Mn 0.6494 0.0000 0.3601
Mn9 Mn 0.7097 0.0000 0.9215
Mn10 Mn 0.8210 0.5000 0.6738
Pt1 Pt 0.3698 0.0000 0.2708
Pt2 Pt 0.8698 0.5000 0.2708
```

Summary:
energy of formation = -0.002 eV/atom
volume = 147 Å³/cell
magnetization = 0.31 μB per formula unit


Record 4
The following is a PBE calculation of a relaxed structure of MnPt2, from Alexandria.

Geometry as CIF:
```
data_MnPt2
_symmetry_space_group_name_H-M 'P 1'
_symmetry_Int_Tables_number 1
_symmetry_space_group_name_Hall 'P 1'
_cell_length_a 3.8397
_cell_length_b 3.8397
_cell_length_c 3.5464
_cell_angle_alpha 90.00
_cell_angle_beta 90.00
_cell_angle_gamma 90.00
loop_
_atom_site_label
_atom_site_type_symbol
_atom_site_fract_x
_atom_site_fract_y
_atom_site_fract_z
Mn1 Mn 0.0000 0.0000 0.0000
Pt1 Pt 0.0000 0.5000 0.5000
Pt2 Pt 0.5000 0.0000 0.5000
```

Summary:
energy of formation = 0.009 eV/atom
volume = 52 Å³/cell
magnetization = 3.83 μB per formula unit


Record 5
The following is a PBE calculation of a relaxed structure of Mn2Pt5, from Alexandria.

Geometry as CIF:
```
data_Mn2Pt5
_symmetry_space_group_name_H-M 'P 1'
_symmetry_Int_Tables_number 1
_symmetry_space_group_name_Hall 'P 1'
_cell_length_a 6.6787
_cell_length_b 6.6787
_cell_length_c 7.2195
_cell_angle_alpha 93.03
_cell_angle_beta 93.03
_cell_angle_gamma 41.87
loop_
_atom_site_label
_atom_site_type_symbol
_atom_site_fract_x
_atom_site_fract_y
_atom_site_fract_z
Mn1 Mn 0.1059 0.7433 0.8954
Mn2 Mn 0.2567 0.8941 0.6046
Mn3 Mn 0.7433 0.1059 0.3954
Mn4 Mn 0.8941 0.2567 0.1046
Pt1 Pt 0.0419 0.3849 0.8182
Pt2 Pt 0.1845 0.5439 0.5408
Pt3 Pt 0.3145 0.6855 0.2500
Pt4 Pt 0.3849 0.0419 0.3182
Pt5 Pt 0.4561 0.8155 0.9592
Pt6 Pt 0.5439 0.1845 0.0408
Pt7 Pt 0.6151 0.9581 0.6818
Pt8 Pt 0.6855 0.3145 0.7500
Pt9 Pt 0.8155 0.4561 0.4592
Pt10 Pt 0.9581 0.6151 0.1818
```

Summary:
energy of formation = -0.261 eV/atom
volume = 215 Å³/cell
magnetization = 8.94 μB per formula unit


Record 6
The following is a PBE calculation of a relaxed structure of Mn3Pt4, from Alexandria.

Geometry as CIF:
```
data_Mn3Pt4
_symmetry_space_group_name_H-M 'P 1'
_symmetry_Int_Tables_number 1
_symmetry_space_group_name_Hall 'P 1'
_cell_length_a 4.7727
_cell_length_b 4.7727
_cell_length_c 5.0594
_cell_angle_alpha 90.00
_cell_angle_beta 90.00
_cell_angle_gamma 120.00
loop_
_atom_site_label
_atom_site_type_symbol
_atom_site_fract_x
_atom_site_fract_y
_atom_site_fract_z
Mn1 Mn 0.0000 0.5000 0.0000
Mn2 Mn 0.5000 0.0000 0.0000
Mn3 Mn 0.5000 0.5000 0.0000
Pt1 Pt 0.0000 0.0000 0.2538
Pt2 Pt 0.0000 0.0000 0.7462
Pt3 Pt 0.3333 0.6667 0.5000
Pt4 Pt 0.6667 0.3333 0.5000
```

Summary:
energy of formation = 0.015 eV/atom
ΔE to the lowest computed polymorph = 296.6 meV per atom
volume = 100 Å³/cell
magnetization = 7.43 μB per formula unit